AlTl2CrF6 | GGA+U | optimized geometry

Cell and atoms, written as CIF:
```
data_AlTl2CrF6
_chemical_formula_sum 'Al2 Tl4 Cr2 F12'
_cell_length_a 6.413
_cell_length_b 6.424
_cell_length_c 7.859
_cell_angle_alpha 90.00
_cell_angle_beta 90.00
_cell_angle_gamma 90.00
_symmetry_space_group_name_H-M 'I m m m'
_symmetry_Int_Tables_number 71
_symmetry_space_group_name_Hall '-I 2 2'
loop_
_atom_site_label
_atom_site_type_symbol
_atom_site_fract_x
_atom_site_fract_y
_atom_site_fract_z
_atom_site_occupancy
Al1 Al 0.000 0.000 0.000 1
Tl1 Tl 0.000 0.500 0.250 1
Cr1 Cr 0.000 0.000 0.500 1
F1 F 0.000 0.000 0.238 1
F2 F 0.201 0.201 0.000 1
```

Final energy   -5.17 eV/atom
M_tot   4.992 μB/f.u.